No. 1
Here is a geometry-optimized SiAgO3 structure from the Open Quantum Materials Database. Energies are from PBE-GGA.

The structure belongs to space group Pnma (No. 62); the cell edges are 5.1544, 6.9774 and 5.1331 Å and the angles 90.00°, 90.00° and 90.00°. Symmetry generates all atoms from Si at (0.0000, 0.0000, 0.0000), Ag at (0.9997, 0.2500, 0.4999), O at (0.0003, 0.2500, 0.0020) and O at (0.1874, 0.0009, 0.6877).

Its volume is 185 Å³/cell. The value obtained for the mass density is 6.62 g cm⁻³.


No. 2
Here is a geometry-optimized SiAg5O4 structure from the Open Quantum Materials Database. Energies are from PBE-GGA.

The structure belongs to space group Pnnm (No. 58); the cell edges are 9.0678, 9.9464 and 6.3367 Å and the angles 90.00°, 90.00° and 90.00°. Symmetry generates all atoms from Si at (0.2399, 0.1173, 0.0000), Ag at (0.0658, 0.3773, 0.2191), Ag at (0.1093, 0.8808, 0.2645), Ag at (0.2054, 0.5936, 0.0000), O at (0.1007, 0.6997, 0.5000), O at (0.1464, 0.1546, 0.2167) and O at (0.2304, 0.4518, 0.5000).

Its volume is 572 Å³/cell. The value obtained for the mass density is 7.34 g cm⁻³.


No. 3
Here is a geometry-optimized SiAgO3 structure from the Open Quantum Materials Database. Energies are from PBE-GGA.

The structure belongs to space group R-3 (No. 148, hexagonal axes); the cell edges are 4.8541, 4.8541 and 15.2988 Å and the angles 90.00°, 90.00° and 120.00°. Symmetry generates all atoms from Si at (0.0000, 0.0000, 0.1627), Ag at (0.0000, 0.0000, 0.3602) and O at (0.0056, 0.3913, 0.4364).

Its volume is 312 Å³/cell. The value obtained for the mass density is 5.87 g cm⁻³.


No. 4
Here is a geometry-optimized ZrSi2AgO7 structure from the Open Quantum Materials Database. Energies are from PBE-GGA.

The structure belongs to space group C2 (No. 5); the cell edges are 6.8342, 8.6197 and 4.7436 Å and the angles 90.00°, 103.04° and 90.00°. Symmetry generates all atoms from Zr at (0.0000, 0.0000, 0.0000), Si at (0.2063, 0.6756, 0.4139), Ag at (0.0000, 0.3855, 0.0000), O at (0.0000, 0.6198, 0.5000), O at (0.1189, 0.1859, 0.2871), O at (0.1779, 0.8403, 0.2472) and O at (0.2451, 0.0358, 0.7968).

Its volume is 272 Å³/cell. For the spin magnetization, the calculation gives 1.0 μB per formula unit. The value obtained for the mass density is 4.48 g cm⁻³.


No. 5
Here is a geometry-optimized Sm2AgO4 structure from the Open Quantum Materials Database. Energies are from PBE-GGA.

The structure belongs to space group Fd-3m (No. 227, origin choice 2); the cell edges are 9.8259, 9.8259 and 9.8259 Å and the angles 90.00°, 90.00° and 90.00°. Symmetry generates all atoms from Sm at (0.0000, 0.0000, 0.0000), Ag at (0.1250, 0.1250, 0.6250) and O at (0.0130, 0.0130, 0.2370).

Its volume is 949 Å³/cell. For the spin magnetization, the calculation gives 1.0 μB per formula unit. The value obtained for the mass density is 6.62 g cm⁻³.


No. 6
Here is a geometry-optimized SmAgO3 structure from the Open Quantum Materials Database. Energies are from PBE-GGA.

The structure belongs to space group Pnma (No. 62); the cell edges are 6.0086, 7.8711 and 5.5245 Å and the angles 90.00°, 90.00° and 90.00°. Symmetry generates all atoms from Sm at (0.0820, 0.2500, 0.0265), Ag at (0.0000, 0.0000, 0.5000), O at (0.0519, 0.7500, 0.3665) and O at (0.1839, 0.5632, 0.8059).

Its volume is 261 Å³/cell. For the spin magnetization, the calculation gives 0.0 μB per formula unit. The value obtained for the mass density is 7.78 g cm⁻³.


No. 7
Here is a geometry-optimized SmAgO3 structure from the Open Quantum Materials Database. Energies are from PBE-GGA.

The structure belongs to space group R-3 (No. 148, hexagonal axes); the cell edges are 5.7916, 5.7916 and 14.5548 Å and the angles 90.00°, 90.00° and 120.00°. Symmetry generates all atoms from Sm at (0.0000, 0.0000, 0.1318), Ag at (0.0000, 0.0000, 0.3515) and O at (0.0202, 0.7209, 0.2519).

Its volume is 423 Å³/cell. For the spin magnetization, the calculation gives 0.0 μB per formula unit. The value obtained for the mass density is 7.22 g cm⁻³.


No. 8
Here is a geometry-optimized SmAg2O4 structure from the Open Quantum Materials Database. Energies are from PBE-GGA.

The structure belongs to space group C2/c (No. 15); the cell edges are 8.3466, 10.2334 and 5.9506 Å and the angles 90.00°, 134.24° and 90.00°. Symmetry generates all atoms from Sm at (0.0000, 0.1247, 0.2500), Ag at (0.0000, 0.5000, 0.0000), Ag at (0.2500, 0.2500, 0.0000), O at (0.1575, 0.3179, 0.2203) and O at (0.1876, 0.0699, 0.0841).

Its volume is 364 Å³/cell. For the spin magnetization, the calculation gives 0.7 μB per formula unit. The value obtained for the mass density is 7.85 g cm⁻³.


The records above yield DFT total energy values of -118.53; -191.78; -182.68; -166.25; -381.68; -122.90; -179.14; -156.74 eV per cell, respectively.